Here is crystalline BeTcRu3 at its relaxed geometry from the Alexandria database. Energies are from PBE.

DFT formation energy in eV/atom: 1.87

Cell lengths 4.6028, 4.6028, 4.6028 Å; angles 90.00, 90.00, 90.00 degrees
Site moments in Bohr magnetons follow the coordinates.
Sites, in units of the cell vectors:
Ru (0.0000, 0.0000, 0.5000)  0.44
Ru (0.5000, 0.0000, 0.0000)  0.20
Ru (0.0000, 0.5000, 0.0000)  0.34
Be (0.5000, 0.5000, 0.5000)  -0.02
Tc (0.0000, 0.0000, 0.0000)  -0.09

Here is crystalline K2Ni2H at its relaxed geometry from the Alexandria database. Energies are from PBE.

Final energy in eV per formula unit: -12.2

Cell lengths 9.4207, 9.4207, 2.8759 Å; angles 90.00, 90.00, 90.00 degrees
Site moments in Bohr magnetons follow the coordinates.
Sites, in units of the cell vectors:
Ni (0.0813, 0.5813, 0.5000)  0.68
Ni (0.5813, 0.9187, 0.5000)  0.68
Ni (0.4187, 0.0813, 0.5000)  0.68
Ni (0.9187, 0.4187, 0.5000)  0.68
H (0.5000, 0.5000, 0.0000)  0.15
H (0.0000, 0.0000, 0.0000)  0.15
K (0.7024, 0.2024, 0.0000)  -0.01
K (0.7976, 0.7024, 0.0000)  -0.01
K (0.2976, 0.7976, 0.0000)  -0.01
K (0.2024, 0.2976, 0.0000)  -0.01

Here is crystalline KMg6Mn at its relaxed geometry from the Alexandria database. Energies are from PBE.

DFT formation energy in eV/atom: 0.31

Cell lengths 6.7006, 6.7006, 5.1962 Å; angles 90.00, 90.00, 120.58 degrees
Site moments in Bohr magnetons follow the coordinates.
Sites, in units of the cell vectors:
Mg (0.6704, 0.8257, 0.5000)  -0.01
Mg (0.8507, 0.6898, 0.0000)  -0.01
Mg (0.3221, 0.6779, 0.0000)  -0.01
Mg (0.1743, 0.3296, 0.5000)  -0.01
Mg (0.8496, 0.1504, 0.0000)  0.01
Mg (0.3102, 0.1493, 0.0000)  -0.01
Mn (0.1486, 0.8514, 0.5000)  3.96
K (0.6740, 0.3260, 0.5000)  0.00

Here is crystalline HfSnSe3 at its relaxed geometry from the Alexandria database. Energies are from PBE.

Formation energy from raw total energies in meV per atom: -923

Cell lengths 3.8632, 7.4438, 10.0716 Å; angles 88.20, 90.00, 90.00 degrees
Sites, in units of the cell vectors:
Se (0.7500, 0.3668, 0.6719)
Se (0.7500, 0.7893, 0.0135)
Se (0.7500, 0.0849, 0.3107)
Se (0.2500, 0.6332, 0.3281)
Se (0.2500, 0.9151, 0.6893)
Se (0.2500, 0.2107, 0.9865)
Sn (0.7500, 0.4506, 0.1894)
Sn (0.2500, 0.5494, 0.8106)
Hf (0.2500, 0.9305, 0.1752)
Hf (0.7500, 0.0695, 0.8248)